Here is an optimized crystal structure of Rb2BaNi3F12 from Alexandria via LeMat-Bulk. Energies are from PBE+U.

Results
total magnetization: 8.00 μB/cell
density of states at the Fermi level: 8.5 states/eV per cell
symmetry: R-3m, No. 166
uncorrected energy: -4.289 eV per atom

a b c (Å): 7.259 7.259 7.259
angles (deg): 62.37 62.37 62.37
Last column: magnetic moment on the atom in μB.
Fractional coordinates of all 18 atoms:
F1 0.131 0.131 0.558  0.13
F2 0.273 0.893 0.273  0.10
F3 0.442 0.869 0.869  0.13
F4 0.727 0.727 0.107  0.10
F5 0.131 0.558 0.131  0.13
F6 0.107 0.727 0.727  0.10
F7 0.273 0.273 0.893  0.10
F8 0.727 0.107 0.727  0.10
F9 0.558 0.131 0.131  0.13
F10 0.869 0.442 0.869  0.13
F11 0.869 0.869 0.442  0.13
F12 0.893 0.273 0.273  0.10
Ni1 0.500 0.000 0.000  2.16
Ni2 0.000 0.000 0.500  2.16
Ni3 0.000 0.500 0.000  2.16
Rb1 0.609 0.609 0.609  0.00
Rb2 0.391 0.391 0.391  0.00
Ba1 0.000 0.000 0.000  0.00